No. 1
A geometry-optimized ReSiC3 structure, computed with GGA-PBEsol.

extended XYZ file:
```
5
Lattice="3.669 0.000 0.000 0.000 3.669 0.000 0.000 0.000 3.669" Properties=species:S:1:pos:R:3 pbc="T T T"
Re 0.000 0.000 0.000
Si 1.835 1.835 1.835
C 0.000 1.835 1.835
C 1.835 0.000 1.835
C 1.835 1.835 0.000
```

- Calculated volume: 9.9 Å³/atom
- Final energy: -36.673 eV for the cell shown
- Total magnetization: 0.247 μB/atom

=====

No. 2
A geometry-optimized LiCd4Tc structure, computed with GGA-PBEsol.

extended XYZ file:
```
6
Lattice="0.000 3.893 3.893 3.893 0.000 3.893 3.893 3.893 0.000" Properties=species:S:1:pos:R:3 pbc="T T T"
Li 0.000 0.000 0.000
Cd 4.864 2.923 2.923
Cd 2.923 4.864 2.923
Cd 2.923 2.923 4.864
Cd 4.864 4.864 4.864
Tc 1.947 1.947 1.947
```

- Calculated volume: 19.7 Å³/atom
- Final energy: -15.423 eV for the cell shown
- E_form: 0.4330 eV/atom
- Total magnetization: 0.439 μB/atom

=====

No. 3
A geometry-optimized Rb2CuSbBr6 structure, computed with GGA-PBEsol.

extended XYZ file:
```
10
Lattice="0.000 5.366 5.366 5.366 0.000 5.366 5.366 5.366 0.000" Properties=species:S:1:pos:R:3 pbc="T T T"
Rb 2.683 2.683 2.683
Rb 8.049 8.049 8.049
Cu 0.000 0.000 0.000
Sb 5.366 5.366 5.366
Br 5.366 5.366 2.575
Br 5.366 2.575 5.366
Br 8.157 5.366 5.366
Br 2.575 5.366 5.366
Br 5.366 8.157 5.366
Br 5.366 5.366 8.157
```

- Calculated volume: 30.9 Å³/atom
- Final energy: -32.070 eV for the cell shown
- Total magnetization: 0.000 μB/atom

=====

No. 4
A geometry-optimized TlTc2As structure, computed with GGA-PBEsol.

extended XYZ file:
```
4
Lattice="2.975 -4.241 0.000 2.975 4.241 0.000 -1.368 0.000 2.645" Properties=species:S:1:pos:R:3 pbc="T T T"
Tl 0.000 0.000 0.000
Tc 0.803 2.120 1.323
Tc 0.803 -2.120 1.323
As 2.975 0.000 0.000
```

- Calculated volume: 16.7 Å³/atom
- Final energy: -27.470 eV for the cell shown
- ΔE to the lowest computed polymorph: 403.8 meV per atom
- E_form: 0.6999 eV/atom
- Total magnetization: 0.000 μB/atom

=====

The lowest calculated volume belongs to which entry? ReSiC3